Entry 1:
Here is an optimized crystal structure of InFeSi2 from Alexandria. Energies are from PBE-GGA.

Results
V = 15.9 Å³/atom
Crystal system = monoclinic
Energy relative to the elements, uncorrected = 190 meV/atom
Raw total energy = -21.29 eV per cell

CIF file:
```
data_InFeSi2
_chemical_formula_sum 'In1 Fe1 Si2'
_symmetry_space_group_name_H-M 'P 1 m 1'
_symmetry_Int_Tables_number 6
_cell_length_a 3.4122
_cell_length_b 3.9241
_cell_length_c 5.0563
_cell_angle_alpha 90.00
_cell_angle_beta 109.62
_cell_angle_gamma 90.00
loop_
_symmetry_equiv_pos_as_xyz
'x,y,z'
'x,-y,z'
loop_
_atom_site_label
_atom_site_fract_x
_atom_site_fract_y
_atom_site_fract_z
In1 0.0000 0.0000 0.0000
Fe1 0.3941 0.5000 0.7868
Si1 0.2693 0.0000 0.5361
Si2 0.7139 0.5000 0.4259
```


Entry 2:
Here is an optimized crystal structure of BaZrScN3 from Alexandria. Energies are from PBE-GGA.

Results
V = 19.3 Å³/atom
Crystal system = monoclinic
Energy relative to the elements, uncorrected = -1213 meV/atom
Raw total energy = -98.11 eV per cell

CIF file:
```
data_BaZrScN3
_chemical_formula_sum 'Ba2 Zr2 Sc2 N6'
_symmetry_space_group_name_H-M 'P 1 21/m 1'
_symmetry_Int_Tables_number 11
_cell_length_a 7.4075
_cell_length_b 3.4088
_cell_length_c 9.2827
_cell_angle_alpha 90.00
_cell_angle_beta 98.17
_cell_angle_gamma 90.00
loop_
_symmetry_equiv_pos_as_xyz
'x,y,z'
'-x,-y,-z'
'-x,y+1/2,-z'
'x,-y+1/2,z'
loop_
_atom_site_label
_atom_site_fract_x
_atom_site_fract_y
_atom_site_fract_z
Ba1 0.1605 0.2500 0.2102
Zr1 0.3618 0.7500 0.8886
Sc1 0.1411 0.2500 0.5859
N1 0.1478 0.7500 0.4585
N2 0.1792 0.2500 0.8229
N3 0.4200 0.7500 0.1088
```


Entry 3:
Here is an optimized crystal structure of TlRuPt2 from Alexandria. Energies are from PBE-GGA.

Results
V = 17.1 Å³/atom
Crystal system = orthorhombic
E above lowest polymorph = 75 meV per atom
Raw total energy = -45.07 eV per cell

CIF file:
```
data_TlRuPt2
_chemical_formula_sum 'Tl2 Ru2 Pt4'
_symmetry_space_group_name_H-M 'I m m 2'
_symmetry_Int_Tables_number 44
_cell_length_a 2.8475
_cell_length_b 4.9370
_cell_length_c 9.7145
_cell_angle_alpha 90.00
_cell_angle_beta 90.00
_cell_angle_gamma 90.00
loop_
_symmetry_equiv_pos_as_xyz
'x,y,z'
'-x,-y,z'
'-x,y,z'
'x,-y,z'
'x+1/2,y+1/2,z+1/2'
'-x+1/2,-y+1/2,z+1/2'
'-x+1/2,y+1/2,z+1/2'
'x+1/2,-y+1/2,z+1/2'
loop_
_atom_site_label
_atom_site_fract_x
_atom_site_fract_y
_atom_site_fract_z
Tl1 0.0000 0.0000 0.0000
Ru1 0.0000 0.5000 0.2441
Pt1 0.0000 0.0000 0.5103
Pt2 0.0000 0.5000 0.7590
```